Rb3TiH at its PBEsol-relaxed geometry, computed with SCAN.

Unit cell a=6.726 b=6.726 c=6.726 alpha=90.00 beta=90.00 gamma=90.00
Space group Pm-3m (No. 221)
Inequivalent atoms, fractional coordinates:
Rb: 0.000 0.000 0.500
Ti: 0.000 0.000 0.000
H: 0.500 0.500 0.500

Output
**Final energy**: -15.3210 eV/atom